(1)
8
Lattice="5.414 0.000 0.000 1.668 5.156 0.000 1.682 1.243 5.002" Properties=species:S:1:pos:R:3 comment="BeZnAu6 PBE-GGA relaxed" total_magnetization_mub_per_cell=0.000 relative_energy_ev_per_atom=0.039 delta_e_f_ev_per_atom=-0.04 crystal_system=triclinic pbc="T T T"
Be 0.000 0.000 0.000
Zn 4.382 3.200 2.501
Au 2.107 3.311 3.815
Au 3.844 5.771 2.721
Au 3.771 3.946 0.055
Au 4.993 2.453 4.947
Au 4.920 0.628 2.281
Au 6.657 3.088 1.187


(2)
8
Lattice="2.990 0.000 0.000 0.000 2.990 0.000 0.000 0.000 13.847" Properties=species:S:1:pos:R:3 comment="BeZn3Au4 PBE-GGA relaxed" total_magnetization_mub_per_cell=0.000 delta_e_f_ev_per_atom=-0.17 crystal_system=tetragonal pbc="T T T"
Be 0.000 0.000 0.000
Zn 0.000 0.000 3.311
Zn 0.000 0.000 6.924
Zn 0.000 0.000 10.536
Au 1.495 1.495 1.456
Au 1.495 1.495 5.118
Au 1.495 1.495 8.729
Au 1.495 1.495 12.392


(3)
4
Lattice="0.000 3.135 3.135 3.135 0.000 3.135 3.135 3.135 0.000" Properties=species:S:1:pos:R:3 comment="BeZnAu2 PBE-GGA relaxed" total_magnetization_mub_per_cell=0.000 relative_energy_ev_per_atom=0.247 delta_e_f_ev_per_atom=0.09 crystal_system=cubic pbc="T T T"
Be 0.000 0.000 0.000
Zn 1.567 1.567 1.567
Au 3.135 3.135 3.135
Au 4.702 4.702 4.702


(4)
8
Lattice="4.180 0.000 0.000 0.029 4.811 0.000 2.058 2.374 5.697" Properties=species:S:1:pos:R:3 comment="BeZn2Au PBE-GGA relaxed" total_magnetization_mub_per_cell=0.000 delta_e_f_ev_per_atom=-0.07 crystal_system=triclinic pbc="T T T"
Be 0.000 0.000 0.000
Be 2.078 3.928 1.416
Zn 2.075 4.418 4.137
Zn 2.067 2.038 3.014
Zn 2.086 1.379 0.204
Zn 4.165 4.969 2.441
Au 4.181 6.240 4.704
Au 4.172 2.619 1.276


(5)
10
Lattice="6.909 0.000 0.000 0.000 6.909 0.000 0.000 0.000 2.935" Properties=species:S:1:pos:R:3 comment="Be2ZnAu2 PBE-GGA relaxed" total_magnetization_mub_per_cell=0.000 relative_energy_ev_per_atom=0.047 delta_e_f_ev_per_atom=-0.09 crystal_system=tetragonal pbc="T T T"
Be 0.960 2.495 0.000
Be 2.495 5.950 0.000
Be 4.414 0.960 0.000
Be 5.950 4.414 0.000
Zn 0.000 0.000 1.467
Zn 3.455 3.455 1.467
Au 1.070 4.524 1.467
Au 2.385 1.070 1.467
Au 4.524 5.840 1.467
Au 5.840 2.385 1.467


(6)
8
Lattice="4.716 0.000 0.000 -0.621 4.719 0.000 -0.412 -0.599 5.031" Properties=species:S:1:pos:R:3 comment="BeZn2Au PBE-GGA relaxed" total_magnetization_mub_per_cell=0.000 delta_e_f_ev_per_atom=-0.05 crystal_system=triclinic pbc="T T T"
Be 0.487 0.741 0.778
Be 3.196 3.378 4.252
Zn 0.887 4.141 3.740
Zn 2.048 2.359 0.000
Zn 1.842 2.060 2.515
Zn 2.796 -0.021 1.291
Au -0.365 3.126 1.435
Au 4.049 0.993 3.595


(7)
13
Lattice="5.934 -3.564 0.000 5.934 3.564 0.000 -0.823 0.000 5.123" Properties=species:S:1:pos:R:3 comment="Be3Zn2Au8 PBE-GGA relaxed" total_magnetization_mub_per_cell=0.000 relative_energy_ev_per_atom=0.060 delta_e_f_ev_per_atom=-0.05 crystal_system=monoclinic pbc="T T T"
Be 0.000 0.000 0.000
Be 5.522 2.331 2.561
Be 5.522 -2.331 2.561
Zn 1.897 0.000 4.317
Zn 9.147 0.000 0.806
Au 1.519 0.000 1.735
Au 4.626 1.436 0.529
Au 4.156 0.000 3.016
Au 6.419 1.436 4.594
Au 4.626 -1.436 0.529
Au 6.889 0.000 2.107
Au 6.419 -1.436 4.594
Au 9.526 0.000 3.388


(8)
8
Lattice="6.749 0.000 0.000 -3.375 5.845 0.000 0.000 0.000 2.917" Properties=species:S:1:pos:R:3 comment="Be2Zn3Au3 PBE-GGA relaxed" total_magnetization_mub_per_cell=0.000 delta_e_f_ev_per_atom=-0.11 crystal_system=hexagonal pbc="T T T"
Be 0.000 3.897 0.000
Be 3.375 1.948 0.000
Zn -0.820 1.420 0.000
Zn 1.640 0.000 0.000
Zn 2.555 4.425 0.000
Au -2.030 3.515 1.459
Au 1.345 2.330 1.459
Au 4.059 0.000 1.459